DFT (GGA-PBE) results for a relaxed LiPm2InAu6 crystal.

Lattice parameters (Å, degrees): 5.5462 6.5552 7.0944 78.20 67.41 69.51
Sites, in units of the cell vectors:
Li 0.0000 0.0000 0.0000
Pm 0.4959 0.7570 0.2460
Pm 0.5041 0.2430 0.7540
In 0.0000 0.5000 0.5000
Au 0.0160 0.6708 0.8384
Au 0.1507 0.0574 0.6077
Au 0.4977 0.2587 0.1858
Au 0.5023 0.7413 0.8142
Au 0.8493 0.9426 0.3923
Au 0.9840 0.3292 0.1616

Summary:
Total magnetization (μB/cell): 0.0
DFT total energy (eV for the cell shown): -38.6